An optimized crystal structure of AcY3Ho5, computed with PBE.

The space group is C2/c (No. 15) and the conventional cell measures 16.466, 8.926 and 11.243 Å, with angles of 90.00, 132.72 and 90.00 degrees. The asymmetric unit holds Ac at (0.000, 0.189, 0.250), Y at (0.000, 0.500, 0.000), Y at (0.220, 0.494, 0.475), Ho at (0.000, 0.250, 0.750), Ho at (0.098, 0.115, 0.075) and Ho at (0.181, 0.218, 0.690).

The calculated volume comes out at 33.7 Å³ per atom. For the distance to the lowest polymorph of the same formula, the calculation gives 0.000 eV per atom. Its density of states at the Fermi level is 59.0 states/eV/cell. The energy of formation from the pure elements comes out at 0.23 eV per atom. The calculation puts the mass density at 7.2 g cm⁻³.